Entry from Alexandria: a PBEsol-optimized structure of K2CuRu (SCAN).

abc: 2.7795 2.7795 10.5036
angles: 90.00 90.00 90.00
Last column: nearest neighbours and their distance in Å.
Element x y z (fractional)
K  0.0000  0.0000  0.2497  4 K 2.78
K  0.0000  0.0000  0.7503  4 K 2.78
Cu  0.5000  0.5000  0.0000  4 Cu 2.78
Ru  0.5000  0.5000  0.5000  4 Ru 2.78

ΔE to the lowest computed polymorph = 1.396 eV/f.u.
magnetization = 1.19 Bohr magnetons per cell
density = 5.0 g/cm³
formation energy from the elements = 418 kJ/mol of formula units
space group = P4/mmm (123)